[1]
A plane-wave DFT calculation with PBE was carried out for an optimized crystal structure of Tb2SmCd.

Output
The magnetic moment comes out at 0.0 μB/f.u. The value obtained for the formation energy is -0.60 eV per formula unit.

a = 3.6222 Å, b = 3.6222 Å, c = 9.0609 Å
α = 90.00°, β = 90.00°, γ = 90.00°
Space group P4/mmm (No. 123)
Symmetry-distinct sites (fractional):
Tb: 0.0000 0.0000 0.2243 [2 per cell]
Sm: 0.5000 0.5000 0.5000 [1 per cell]
Cd: 0.5000 0.5000 0.0000 [1 per cell]

---

[2]
A plane-wave DFT calculation with PBE was carried out for an optimized crystal structure of ScAl5.

Output
The magnetic moment comes out at 0.0 μB/f.u. The value obtained for the formation energy is -1.51 eV per formula unit.

a = 4.0914 Å, b = 12.2092 Å, c = 4.1240 Å
α = 90.00°, β = 90.00°, γ = 90.00°
Space group Cmmm (No. 65)
Symmetry-distinct sites (fractional):
Sc: 0.0000 0.0000 0.0000 [2 per cell]
Al: 0.0000 0.1705 0.5000 [4 per cell]
Al: 0.0000 0.3295 0.0000 [4 per cell]
Al: 0.0000 0.5000 0.5000 [2 per cell]

---

[3]
A plane-wave DFT calculation with PBE was carried out for an optimized crystal structure of InPdS.

Output
The magnetic moment comes out at 0.0 μB/f.u. As for the uncorrected formation energy: -0.29 eV per atom.

a = 3.7157 Å, b = 4.2408 Å, c = 7.8892 Å
α = 99.01°, β = 95.88°, γ = 93.52°
Space group P1 (No. 1)
Symmetry-distinct sites (fractional):
In: 0.0000 0.0000 0.0000 [1 per cell]
In: 0.0597 0.0756 0.5807 [1 per cell]
Pd: 0.4013 0.4557 0.8796 [1 per cell]
Pd: 0.5468 0.2767 0.3596 [1 per cell]
S: 0.5300 0.6459 0.6157 [1 per cell]
S: 0.5589 0.7560 0.1880 [1 per cell]

---

[4]
A plane-wave DFT calculation with PBE was carried out for an optimized crystal structure of TmAl2Pd3.

Output
The magnetic moment comes out at 0.0 μB/f.u. The value obtained for the formation energy is -5.68 eV per formula unit.

a = 4.3470 Å, b = 4.3470 Å, c = 12.5872 Å
α = 90.00°, β = 90.00°, γ = 120.00°
Space group P6_3/mmc (No. 194)
Symmetry-distinct sites (fractional):
Tm: 0.0000 0.0000 0.2500 [2 per cell]
Al: 0.3333 0.6667 0.0761 [4 per cell]
Pd: 0.0000 0.0000 0.0000 [2 per cell]
Pd: 0.3333 0.6667 0.6292 [4 per cell]

---

| no. | raw total energy (eV/atom) |
| --- | --- |
| 1 | -3.87 |
| 2 | -4.43 |
| 3 | -4.31 |
| 4 | -5.54 |